A relaxed KRbSr crystal, computed with PBE.

abc: 6.6236 4.4496 14.8258
angles: 106.51 89.99 90.02
Fractional positions:
Sr  0.4158  0.8755  0.7246
K  0.4157  0.5274  0.3781
Rb  0.9159  0.2024  0.5476
K  0.9153  0.8485  0.2035
Rb  0.4153  0.1737  0.0340
Sr  0.9154  0.5007  0.8569

## Properties
- polymorph energy (0 for the lowest one) (eV/atom) = 0.025
- energy of formation from the pure elements (eV/atom) = 0.08
- total magnetic moment (μB per cell) = 0.0
- theoretical density (g cm⁻³) = 1.68